MgBrCl3 | PBE-GGA | relaxed

Cell lengths 5.323, 5.323, 5.323 Å; angles 90.00, 90.00, 90.00 degrees
Fractional positions:
Cl1 0.000 0.500 0.000
Cl2 0.000 0.000 0.500
Cl3 0.500 0.000 0.000
Mg1 0.500 0.500 0.500
Br1 0.000 0.000 0.000

* formation energy without anion corrections: 0.053 eV/atom
* raw total energy: -1.708 eV/atom
* excess energy over the best structure of this formula in the dataset: 0.761 eV per atom
* mass density: 2.3 g/cm³
* symmetry: No. 221

Mg2BrCl | PBE-GGA | relaxed

Cell lengths 10.062, 10.062, 10.062 Å; angles 21.15, 21.15, 21.15 degrees
Fractional positions:
Mg1 0.003 0.003 0.003
Mg2 0.251 0.251 0.251
Br1 0.530 0.530 0.530
Cl1 0.716 0.716 0.716

* formation energy without anion corrections: -1.094 eV/atom
* raw total energy: -2.771 eV/atom
* excess energy over the best structure of this formula in the dataset: 0.000 eV per atom
* mass density: 2.3 g/cm³
* symmetry: No. 160

NaMgBr2Cl | PBE-GGA | relaxed

Cell lengths 3.927, 6.905, 9.609 Å; angles 90.00, 90.00, 106.52 degrees
Fractional positions:
Mg1 0.000 0.000 0.500
Mg2 0.000 0.000 0.000
Br1 0.366 0.733 0.056
Br2 0.634 0.267 0.944
Br3 0.634 0.267 0.556
Br4 0.366 0.733 0.444
Na1 0.277 0.554 0.750
Na2 0.723 0.446 0.250
Cl1 0.931 0.861 0.750
Cl2 0.069 0.139 0.250

* formation energy without anion corrections: -1.582 eV/atom
* raw total energy: -3.203 eV/atom
* excess energy over the best structure of this formula in the dataset: 0.000 eV per atom
* mass density: 3.2 g/cm³
* symmetry: No. 63

NaMgBr2Cl | PBE-GGA | relaxed

Cell lengths 5.361, 5.361, 4.873 Å; angles 90.00, 90.00, 90.00 degrees
Fractional positions:
Na1 0.500 0.500 0.500
Br1 0.000 0.500 0.000
Br2 0.500 0.000 0.000
Mg1 0.000 0.000 0.000
Cl1 0.000 0.000 0.500

* formation energy without anion corrections: -1.476 eV/atom
* raw total energy: -3.097 eV/atom
* excess energy over the best structure of this formula in the dataset: 0.106 eV per atom
* mass density: 2.9 g/cm³
* symmetry: No. 123